5
Lattice="-0.3046 2.1910 -4.2044 3.4067 -2.8289 -1.7210 -3.2972 -3.1253 -1.3897" Properties=species:S:1:pos:R:3 comment="RbSnB3 PBE optimized geometry" polymorph_energy_mev_per_atom=0 total_magnetization_mub_per_cell=0.000 n_ef_per_ev_atom=0.597 spacegroup="Pm-3m (221)" pbc="T T T"
B 1.7034 -1.4144 -0.8605
B -1.6486 -1.5626 -0.6949
B -0.1523 1.0955 -2.1022
Rb -0.0976 -1.8816 -3.6576
Sn 0.0000 0.0000 0.0000